## a
## HfC2Br (PBE-GGA)

Data for a relaxed structure of HfC2Br.

Results
V   52.9 Å³/f.u.
Total magnetic moment   0.000 μB per formula unit

```
HfC2Br
1.0
0.0000 2.9787 2.9787
2.9787 0.0000 2.9787
2.9787 2.9787 0.0000
Hf C Br
1 2 1
Direct
0.0000 0.0000 0.0000
0.2500 0.2500 0.2500
0.7500 0.7500 0.7500
0.5000 0.5000 0.5000
```

## b
## HfC2Br (PBE-GGA)

Data for a relaxed structure of HfC2Br.

Results
V   72.6 Å³/f.u.
Total magnetic moment   0.000 μB per formula unit

```
HfC2Br
1.0
-2.5657 2.5657 5.5156
2.5657 -2.5657 5.5156
2.5657 2.5657 -5.5156
Hf C Br
2 4 2
Direct
0.0000 0.0000 0.0000
0.7500 0.2500 0.5000
0.0850 0.6250 0.9600
0.3750 0.3350 0.4600
0.6650 0.1250 0.0400
0.8750 0.9150 0.5400
0.2500 0.7500 0.5000
0.5000 0.5000 0.0000
```

Which structure wins on stability? b wins.

## a
## HfCBr3 (PBE-GGA)

Data for a relaxed structure of HfCBr3.

Results
V   101.7 Å³/f.u.
Total magnetic moment   1.711 μB per formula unit

```
HfCBr3
1.0
4.6672 0.0000 0.0000
0.0000 4.6672 0.0000
0.0000 0.0000 4.6672
Hf C Br
1 1 3
Direct
0.0000 0.0000 0.0000
0.5000 0.5000 0.5000
0.0000 0.5000 0.5000
0.5000 0.0000 0.5000
0.5000 0.5000 0.0000
```

## b
## HfCBr3 (PBE-GGA)

Data for a relaxed structure of HfCBr3.

Results
V   144.4 Å³/f.u.
Total magnetic moment   2.730 μB per formula unit

```
HfCBr3
1.0
5.2462 0.0000 0.0000
0.0000 5.2462 0.0000
0.0000 0.0000 5.2462
Hf C Br
1 1 3
Direct
0.0000 0.0000 0.0000
0.5000 0.5000 0.5000
0.0000 0.0000 0.5000
0.0000 0.5000 0.0000
0.5000 0.0000 0.0000
```

Which structure wins on stability? b wins.

## a
## HfCSeBr2 (PBE-GGA)

Data for a relaxed structure of HfCSeBr2.

Results
V   93.6 Å³/f.u.
Total magnetic moment   0.590 μB per formula unit

```
HfCSeBr2
1.0
4.4740 0.0000 0.0000
0.0000 4.4740 0.0000
0.0000 0.0000 4.6780
Hf C Se Br
1 1 1 2
Direct
0.0000 0.0000 0.0000
0.5000 0.5000 0.5000
0.5000 0.5000 0.0000
0.0000 0.5000 0.5000
0.5000 0.0000 0.5000
```

## b
## HfCSeBr2 (PBE-GGA)

Data for a relaxed structure of HfCSeBr2.

Results
V   143.9 Å³/f.u.
Total magnetic moment   1.986 μB per formula unit

```
HfCSeBr2
1.0
5.2970 0.0000 0.0000
0.0000 5.2970 0.0000
0.0000 0.0000 5.1282
Hf C Se Br
1 1 1 2
Direct
0.0000 0.0000 0.0000
0.5000 0.5000 0.5000
0.0000 0.0000 0.5000
0.0000 0.5000 0.0000
0.5000 0.0000 0.0000
```

Which structure wins on stability? b wins.

## a
## HfCSe2Br (PBE-GGA)

Data for a relaxed structure of HfCSe2Br.

Results
V   89.0 Å³/f.u.
Total magnetic moment   0.000 μB per formula unit

```
HfCSe2Br
1.0
4.4819 0.0000 0.0000
0.0000 4.4819 0.0000
0.0000 0.0000 4.4313
Hf C Se Br
1 1 2 1
Direct
0.0000 0.0000 0.0000
0.5000 0.5000 0.5000
0.0000 0.5000 0.5000
0.5000 0.0000 0.5000
0.5000 0.5000 0.0000
```

## b
## HfCSe2Br (PBE-GGA)

Data for a relaxed structure of HfCSe2Br.

Results
V   140.6 Å³/f.u.
Total magnetic moment   1.455 μB per formula unit

```
HfCSe2Br
1.0
5.1688 0.0000 0.0000
0.0000 5.1688 0.0000
0.0000 0.0000 5.2609
Hf C Se Br
1 1 2 1
Direct
0.0000 0.0000 0.0000
0.5000 0.5000 0.5000
0.0000 0.5000 0.0000
0.5000 0.0000 0.0000
0.0000 0.0000 0.5000
```

Which structure wins on stability? a wins.

## a
## HgCBr2 (PBE-GGA)

Data for a relaxed structure of HgCBr2.

Results
V   114.1 Å³/f.u.
Total magnetic moment   0.000 μB per formula unit

```
HgCBr2
1.0
1.7560 1.0138 10.6818
-1.7560 1.0138 10.6818
0.0000 -2.0277 10.6818
Hg C Br
1 1 2
Direct
0.0000 0.0000 0.0000
0.5000 0.5000 0.5000
0.1229 0.1229 0.1229
0.8771 0.8771 0.8771
```

## b
## HgCBr2 (PBE-GGA)

Data for a relaxed structure of HgCBr2.

Results
V   90.3 Å³/f.u.
Total magnetic moment   1.612 μB per formula unit

```
HgCBr2
1.0
0.0000 3.5608 3.5608
3.5608 0.0000 3.5608
3.5608 3.5608 0.0000
Hg C Br
1 1 2
Direct
0.0000 0.0000 0.0000
0.5000 0.5000 0.5000
0.2500 0.2500 0.2500
0.7500 0.7500 0.7500
```

Which structure wins on stability? a wins.

## a
## Hg2CBr (PBE-GGA)

Data for a relaxed structure of Hg2CBr.

Results
V   104.3 Å³/f.u.
Total magnetic moment   0.990 μB per formula unit

```
Hg2CBr
1.0
-3.0996 3.0996 5.4273
3.0996 -3.0996 5.4273
3.0996 3.0996 -5.4273
Hg C Br
4 2 2
Direct
0.3750 0.2282 0.3532
0.7718 0.1250 0.1468
0.8750 0.0218 0.6468
0.9782 0.6250 0.8532
0.0000 0.0000 0.0000
0.7500 0.2500 0.5000
0.2500 0.7500 0.5000
0.5000 0.5000 0.0000
```

## b
## Hg2CBr (PBE-GGA)

Data for a relaxed structure of Hg2CBr.

Results
V   92.7 Å³/f.u.
Total magnetic moment   1.570 μB per formula unit

```
Hg2CBr
1.0
0.0000 3.5917 3.5917
3.5917 0.0000 3.5917
3.5917 3.5917 0.0000
Hg C Br
2 1 1
Direct
0.2500 0.2500 0.2500
0.7500 0.7500 0.7500
0.0000 0.0000 0.0000
0.5000 0.5000 0.5000
```

Which structure wins on stability? a wins.

## a
## HgCSeBr2 (PBE-GGA)

Data for a relaxed structure of HgCSeBr2.

Results
V   106.8 Å³/f.u.
Total magnetic moment   0.000 μB per formula unit

```
HgCSeBr2
1.0
4.8874 0.0000 0.0000
0.0000 4.8874 0.0000
0.0000 0.0000 4.4724
Hg C Se Br
1 1 1 2
Direct
0.0000 0.0000 0.0000
0.5000 0.5000 0.5000
0.5000 0.5000 0.0000
0.0000 0.5000 0.5000
0.5000 0.0000 0.5000
```

## b
## HgCSeBr2 (PBE-GGA)

Data for a relaxed structure of HgCSeBr2.

Results
V   164.5 Å³/f.u.
Total magnetic moment   0.207 μB per formula unit

```
HgCSeBr2
1.0
5.4897 0.0000 0.0000
0.0000 5.4897 0.0000
0.0000 0.0000 5.4588
Hg C Se Br
1 1 1 2
Direct
0.0000 0.0000 0.0000
0.5000 0.5000 0.5000
0.0000 0.0000 0.5000
0.0000 0.5000 0.0000
0.5000 0.0000 0.0000
```

Which structure wins on stability? a wins.

## a
## SbCI2Br (PBE-GGA)

Data for a relaxed structure of SbCI2Br.

Results
V   209.1 Å³/f.u.
Total magnetic moment   3.845 μB per formula unit

```
SbCI2Br
1.0
6.0023 0.0000 0.0000
0.0000 6.0023 0.0000
0.0000 0.0000 5.8048
Sb C I Br
1 1 2 1
Direct
0.0000 0.0000 0.0000
0.5000 0.5000 0.0000
0.0000 0.5000 0.5000
0.5000 0.0000 0.5000
0.0000 0.0000 0.5000
```

## b
## SbCI2Br (PBE-GGA)

Data for a relaxed structure of SbCI2Br.

Results
V   130.5 Å³/f.u.
Total magnetic moment   0.000 μB per formula unit

```
SbCI2Br
1.0
5.1729 0.0000 0.0000
0.0000 5.1729 0.0000
0.0000 0.0000 4.8751
Sb C I Br
1 1 2 1
Direct
0.0000 0.0000 0.0000
0.0000 0.0000 0.5000
0.0000 0.5000 0.5000
0.5000 0.0000 0.5000
0.5000 0.5000 0.0000
```

Which structure wins on stability? b wins.